Entry 1:
4
Lattice="0.000 3.510 3.510 3.510 0.000 3.510 3.510 3.510 0.000" Properties=species:S:1:pos:R:3 comment="PBE La2MoRh, optimized geometry" volume_a3_per_fu=86.5 delta_e_f_ev_per_atom=0.24 sg="No. 216" dos_ef_per_ev_fu=5.320 pbc="T T T"
La 0.000 0.000 0.000
La 1.755 1.755 1.755
Mo 3.510 3.510 3.510
Rh 5.266 5.266 5.266



Entry 2:
3
Lattice="-1.706 1.706 6.007 1.706 -1.706 6.007 1.706 1.706 -6.007" Properties=species:S:1:pos:R:3 comment="PBE LaCdRu, optimized geometry" volume_a3_per_fu=70.0 delta_e_f_ev_per_atom=-0.01 sg="No. 107" dos_ef_per_ev_fu=2.453 pbc="T T T"
La 0.000 0.000 0.000
Cd 0.000 0.000 8.704
Ru 0.000 0.000 4.283



Entry 3:
10
Lattice="4.738 0.000 0.000 0.000 4.738 0.000 0.000 0.000 10.783" Properties=species:S:1:pos:R:3 comment="PBE Ac2Mg3CdGe4, optimized geometry" volume_a3_per_fu=242.0 delta_e_f_ev_per_atom=-0.45 sg="No. 115" dos_ef_per_ev_fu=2.036 pbc="T T T"
Ac 0.000 2.369 2.504
Ac 2.369 0.000 8.280
Mg 0.000 2.369 9.552
Mg 2.369 0.000 1.231
Mg 2.369 2.369 5.392
Cd 0.000 0.000 5.392
Ge 0.000 0.000 0.000
Ge 0.000 2.369 6.929
Ge 2.369 0.000 3.855
Ge 2.369 2.369 0.000